Mn2VI2, optimized geometry, DFT PBE; relative energy among the computed polymorphs = 0.01 eV per formula unit; calculated total energy = -5.3635 eV per atom; volume = 21.65 Å³/atom; uncorrected formation energy = 748 meV/atom
1.0
7.645 0.000 0.000
0.000 7.645 0.000
0.000 0.000 3.704
Mn I V
4 4 2
Direct
0.371 0.129 0.500
0.629 0.871 0.500
0.129 0.629 0.500
0.871 0.371 0.500
0.827 0.673 0.000
0.673 0.173 0.000
0.327 0.827 0.000
0.173 0.327 0.000
0.500 0.500 0.000
0.000 0.000 0.000